The following is a PBE calculation of crystalline Bi3SBr at its relaxed geometry, from Alexandria.

The structure belongs to space group Pm-3m (No. 221); the cell edges are 5.455, 5.455 and 5.455 Å and the angles 90.00°, 90.00° and 90.00°. The asymmetric unit holds Bi at (0.000, 0.000, 0.500), S at (0.000, 0.000, 0.000) and Br at (0.500, 0.500, 0.500).

The crystal system is cubic. The magnetization comes out at 0.0 μB/cell. The energy above the most stable polymorph in this dataset is 0 meV per atom.